Ce4Br5O4, optimized geometry, DFT PBE; symmetry = I4/m, No. 87; calculated density = 6.01 g/cm3; N(E_F) = 24.98 states/eV per cell; ΔE_f (raw) = -2572 meV/atom; size of the total moment = 3.01 μB/f.u.
1.0
-5.870 5.870 2.054
5.870 -5.870 2.054
5.870 5.870 -2.054
Ce Br O
4 5 4
Cartesian
3.622 0.446 0.000
5.423 -2.248 2.054
0.446 8.117 0.000
2.248 5.423 2.054
0.000 0.000 0.000
4.295 3.461 0.000
2.408 -1.575 2.054
3.461 7.444 0.000
1.575 2.408 2.054
6.701 1.331 0.000
1.331 5.038 0.000
4.538 0.832 2.054
-0.832 4.538 2.054